1.
Sm2NiSn | PBE | relaxed

POSCAR file:
```
Sm2NiSn
1.0
3.523 0.000 0.000
0.000 3.523 0.000
0.000 0.000 7.841
Sm Ni Sn
2 1 1
Direct
0.000 0.000 0.214 Sm
0.000 0.000 0.786 Sm
0.500 0.500 0.000 Ni
0.500 0.500 0.500 Sn
```

Summary:
The value obtained for the calculated formation energy is -0.464 eV/atom. As for the total magnetic moment: 0.000 μB per cell. As for the space group: No. 123.



2.
Pu3Tl4InS8 | PBE | relaxed

POSCAR file:
```
Pu3Tl4InS8
1.0
4.067 2.348 7.436
-4.067 2.348 7.436
0.000 -4.697 7.436
Pu Tl In S
3 4 1 8
Direct
0.000 0.500 0.500 Pu
0.500 0.000 0.500 Pu
0.500 0.500 0.000 Pu
0.000 0.000 0.500 Tl
0.000 0.500 0.000 Tl
0.500 0.000 0.000 Tl
0.500 0.500 0.500 Tl
0.000 0.000 0.000 In
0.229 0.229 0.736 S
0.229 0.736 0.229 S
0.264 0.771 0.771 S
0.269 0.269 0.269 S
0.731 0.731 0.731 S
0.736 0.229 0.229 S
0.771 0.264 0.771 S
0.771 0.771 0.264 S
```

Summary:
As for the energy relative to the elements, uncorrected: -16.20 eV/f.u. As for the total magnetic moment: 14.968 μB per cell. As for the space group: No. 166.



3.
CoPt2Br | PBE | relaxed

POSCAR file:
```
CoPt2Br
1.0
2.736 0.000 0.000
0.000 2.736 0.000
0.000 0.000 10.379
Co Pt Br
1 2 1
Direct
0.000 0.000 0.000 Co
0.500 0.500 0.170 Pt
0.500 0.500 0.830 Pt
0.000 0.000 0.500 Br
```

Summary:
As for the energy relative to the elements, uncorrected: 1.37 eV/f.u. As for the total magnetic moment: 2.900 μB per cell. As for the space group: No. 123. For the energy above the most stable polymorph in this dataset, the calculation gives 49 meV/atom.



4.
Cs2Ac2HfS6 | PBE | relaxed

POSCAR file:
```
Cs2Ac2HfS6
1.0
3.694 -6.279 0.000
3.694 6.279 0.000
-2.439 0.000 8.236
Cs Ac Hf S
2 2 1 6
Direct
0.169 0.831 0.000 Cs
0.831 0.169 0.000 Cs
0.334 0.666 0.500 Ac
0.666 0.334 0.500 Ac
0.000 0.000 0.500 Hf
0.058 0.355 0.678 S
0.229 0.229 0.321 S
0.355 0.058 0.678 S
0.645 0.942 0.322 S
0.771 0.771 0.679 S
0.942 0.645 0.322 S
```

Summary:
As for the energy relative to the elements, uncorrected: -19.61 eV/f.u. As for the total magnetic moment: 0.000 μB per cell. As for the space group: No. 12.



5.
Sm4NiIr3 | PBE | relaxed

POSCAR file:
```
Sm4NiIr3
1.0
4.014 0.000 0.000
0.000 4.151 0.000
0.000 0.000 10.828
Sm Ni Ir
4 1 3
Direct
0.000 0.000 0.000 Sm
0.000 0.500 0.286 Sm
0.500 0.000 0.501 Sm
0.500 0.500 0.788 Sm
0.500 0.000 0.214 Ni
0.000 0.000 0.725 Ir
0.000 0.500 0.558 Ir
0.500 0.500 0.077 Ir
```

Summary:
The value obtained for the calculated formation energy is -0.627 eV/atom. As for the total magnetic moment: 0.000 μB per cell. As for the space group: No. 25.



6.
FeCoNiS2 | PBE | relaxed

POSCAR file:
```
FeCoNiS2
1.0
4.329 0.000 0.000
0.000 4.329 0.000
0.000 0.000 4.411
Fe Co Ni S
1 1 1 2
Direct
0.000 0.000 0.000 Fe
0.500 0.500 0.000 Co
0.000 0.000 0.500 Ni
0.000 0.500 0.500 S
0.500 0.000 0.500 S
```

Summary:
As for the energy relative to the elements, uncorrected: 4.24 eV/f.u. As for the total magnetic moment: 5.532 μB per cell. As for the space group: No. 123.



7.
Ni2SeBr | PBE | relaxed

POSCAR file:
```
Ni2SeBr
1.0
3.093 -1.788 0.000
3.093 1.788 0.000
-2.068 0.000 6.001
Ni Se Br
2 1 1
Direct
0.237 0.237 0.212 Ni
0.763 0.763 0.788 Ni
0.500 0.500 0.000 Se
0.000 0.000 0.500 Br
```

Summary:
As for the energy relative to the elements, uncorrected: -0.09 eV/f.u. As for the total magnetic moment: 0.000 μB per cell. As for the space group: No. 12. For the energy above the most stable polymorph in this dataset, the calculation gives 119 meV/atom.



8.
Al2CdHg | PBE | relaxed

POSCAR file:
```
Al2CdHg
1.0
4.455 -1.654 0.000
4.455 1.654 0.000
-1.337 0.000 5.618
Al Cd Hg
2 1 1
Direct
0.000 0.000 0.000 Al
0.742 0.742 0.214 Al
0.493 0.493 0.468 Cd
0.253 0.253 0.755 Hg
```

Summary:
The value obtained for the calculated formation energy is 0.145 eV/atom. As for the total magnetic moment: 0.000 μB per cell. As for the space group: No. 8. For the energy above the most stable polymorph in this dataset, the calculation gives 31 meV/atom.



9.
DyY2In | PBE | relaxed

POSCAR file:
```
DyY2In
1.0
3.594 0.000 0.000
0.000 3.594 0.000
0.000 0.000 9.188
Dy Y In
1 2 1
Direct
0.000 0.000 0.000 Dy
0.500 0.500 0.274 Y
0.500 0.500 0.726 Y
0.000 0.000 0.500 In
```

Summary:
The value obtained for the calculated formation energy is -0.245 eV/atom. As for the total magnetic moment: 0.000 μB per cell. As for the space group: No. 123. For the energy above the most stable polymorph in this dataset, the calculation gives 28 meV/atom.



10.
MgZn2Hg | PBE | relaxed

POSCAR file:
```
MgZn2Hg
1.0
4.616 -1.758 0.000
4.616 1.758 0.000
-0.905 0.000 4.671
Mg Zn Hg
1 2 1
Direct
0.000 0.000 0.000 Mg
0.253 0.253 0.762 Zn
0.747 0.747 0.238 Zn
0.500 0.500 0.500 Hg
```

Summary:
The value obtained for the calculated formation energy is -0.017 eV/atom. As for the total magnetic moment: 0.000 μB per cell. As for the space group: No. 12. For the energy above the most stable polymorph in this dataset, the calculation gives 15 meV/atom.



11.
K5P3 | PBE | relaxed

POSCAR file:
```
K5P3
1.0
4.821 -5.039 0.000
4.821 5.039 0.000
0.000 0.000 4.713
K P
5 3
Direct
0.000 0.000 0.000 K
0.000 0.500 0.000 K
0.289 0.711 0.500 K
0.500 0.000 0.000 K
0.711 0.289 0.500 K
0.257 0.257 0.500 P
0.500 0.500 0.000 P
0.743 0.743 0.500 P
```

Summary:
The value obtained for the calculated formation energy is 0.070 eV/atom. As for the total magnetic moment: 0.000 μB per cell. As for the space group: No. 65.



12.
Rb5Pu2Cl12 | PBE | relaxed

POSCAR file:
```
Rb5Pu2Cl12
1.0
8.121 -4.921 0.000
8.121 4.921 0.000
-4.412 0.000 7.991
Rb Pu Cl
5 2 12
Direct
0.000 0.000 0.000 Rb
0.265 0.265 0.510 Rb
0.305 0.305 0.984 Rb
0.695 0.695 0.016 Rb
0.735 0.735 0.490 Rb
0.249 0.751 0.500 Pu
0.751 0.249 0.500 Pu
0.083 0.083 0.683 Cl
0.106 0.521 0.267 Cl
0.123 0.703 0.689 Cl
0.297 0.877 0.311 Cl
0.479 0.894 0.733 Cl
0.496 0.496 0.666 Cl
0.504 0.504 0.334 Cl
0.521 0.106 0.267 Cl
0.703 0.123 0.689 Cl
0.877 0.297 0.311 Cl
0.894 0.479 0.733 Cl
0.917 0.917 0.317 Cl
```

Summary:
As for the energy relative to the elements, uncorrected: -35.21 eV/f.u. As for the total magnetic moment: 9.000 μB per cell. As for the space group: No. 12.



13.
Rb2AuI6Br | PBE | relaxed

POSCAR file:
```
Rb2AuI6Br
1.0
-4.312 4.312 6.204
4.312 -4.312 6.204
4.312 4.312 -6.204
Rb Au I Br
2 1 6 1
Direct
0.250 0.750 0.500 Rb
0.750 0.250 0.500 Rb
0.000 0.000 0.000 Au
0.220 0.220 0.440 I
0.220 0.780 0.000 I
0.275 0.275 0.000 I
0.725 0.725 0.000 I
0.780 0.220 0.000 I
0.780 0.780 0.560 I
0.500 0.500 0.000 Br
```

Summary:
As for the energy relative to the elements, uncorrected: -6.16 eV/f.u. As for the total magnetic moment: 0.000 μB per cell. As for the space group: No. 139.



14.
LaZrS4 | PBE | relaxed

POSCAR file:
```
LaZrS4
1.0
6.327 0.000 0.000
0.000 6.884 0.000
-0.380 0.000 6.657
La Zr S
2 2 8
Direct
0.000 0.000 0.000 La
0.000 0.500 0.500 La
0.500 0.000 0.500 Zr
0.500 0.500 0.000 Zr
0.125 0.114 0.419 S
0.125 0.386 0.919 S
0.382 0.676 0.315 S
0.382 0.824 0.815 S
0.618 0.176 0.185 S
0.618 0.324 0.685 S
0.875 0.614 0.081 S
0.875 0.886 0.581 S
```

Summary:
As for the energy relative to the elements, uncorrected: -8.45 eV/f.u. As for the total magnetic moment: 0.000 μB per cell. As for the space group: No. 14.



15.
CeZrSb | PBE | relaxed

POSCAR file:
```
CeZrSb
1.0
4.987 0.000 0.000
-2.494 4.319 0.000
0.000 0.000 3.781
Ce Zr Sb
1 1 1
Direct
0.000 0.000 0.000 Ce
0.667 0.333 0.500 Zr
0.333 0.667 0.500 Sb
```

Summary:
As for the energy relative to the elements, uncorrected: -0.96 eV/f.u. As for the total magnetic moment: 1.913 μB per cell. As for the space group: No. 187.



16.
YHoTm | PBE | relaxed

POSCAR file:
```
YHoTm
1.0
2.495 -7.494 0.000
2.495 7.494 0.000
0.000 0.000 4.982
Y Ho Tm
2 2 2
Direct
0.084 0.916 0.750 Y
0.916 0.084 0.250 Y
0.416 0.584 0.750 Ho
0.584 0.416 0.250 Ho
0.250 0.750 0.250 Tm
0.750 0.250 0.750 Tm
```

Summary:
The value obtained for the calculated formation energy is 0.026 eV/atom. As for the total magnetic moment: 0.000 μB per cell. As for the space group: No. 63. For the energy above the most stable polymorph in this dataset, the calculation gives 0 meV/atom.



17.
BaTbSe2 | PBE | relaxed

POSCAR file:
```
BaTbSe2
1.0
3.723 -2.148 0.000
3.723 2.148 0.000
-2.468 0.000 7.399
Ba Tb Se
1 1 2
Direct
0.000 0.000 0.000 Ba
0.500 0.500 0.500 Tb
0.238 0.238 0.713 Se
0.762 0.762 0.287 Se
```

Summary:
As for the energy relative to the elements, uncorrected: -7.55 eV/f.u. As for the total magnetic moment: 0.000 μB per cell. As for the space group: No. 12. For the energy above the most stable polymorph in this dataset, the calculation gives 0 meV/atom.